[1]
The following is a GGA-PBE calculation of BaSbSe2Br after structural relaxation, from the Alexandria database.

Cell: 5.5019 5.5019 5.5210 Å, 90.00 90.00 90.00°
Last column: nearest neighbours and their distance in Å.
Positions (direct):
1 Ba 0.0000 0.0000 0.0000  4 Br 3.89, 8 Se 3.90
2 Sb 0.5000 0.5000 0.5000  4 Se 2.75, 2 Br 2.76
3 Se 0.0000 0.5000 0.5000  2 Sb 2.75
4 Se 0.5000 0.0000 0.5000  2 Sb 2.75
5 Br 0.5000 0.5000 0.0000  2 Sb 2.76

Computed properties:
Total DFT energy (no corrections) (eV per atom): -3.87
Space-group type: P4/mmm, No. 123
Formation energy without anion corrections (eV per atom): -0.929

---

[2]
The following is a GGA-PBE calculation of TbPr7Dy2 after structural relaxation, from the Alexandria database.

Cell: 9.4079 9.4079 5.7051 Å, 90.00 90.00 123.20°
Last column: nearest neighbours and their distance in Å.
Positions (direct):
1 Tb 0.0000 0.0000 0.0000  10 Pr 3.69-3.78
2 Pr 0.0662 0.2935 0.5000  2 Pr 3.22-3.43, 2 Dy 3.24-3.41
3 Pr 0.2227 0.7773 0.0000  2 Dy 3.09
4 Pr 0.2935 0.0662 0.5000  2 Pr 3.22-3.43, 2 Dy 3.24-3.41
5 Pr 0.5000 0.5000 0.5000  2 Dy 3.39, 4 Pr 3.43
6 Pr 0.7065 0.9338 0.5000  2 Pr 3.22-3.43, 2 Dy 3.24-3.41
7 Pr 0.7773 0.2227 0.0000  2 Dy 3.09
8 Pr 0.9338 0.7065 0.5000  2 Pr 3.22-3.43, 2 Dy 3.24-3.41
9 Dy 0.2952 0.7048 0.5000  7 Pr 3.09-3.41
10 Dy 0.7048 0.2952 0.5000  7 Pr 3.09-3.41

Computed properties:
Total DFT energy (no corrections) (eV per atom): -4.10
Space-group type: Cmmm, No. 65

---

[3]
The following is a GGA-PBE calculation of Zr2CoSi after structural relaxation, from the Alexandria database.

Cell: 2.8963 3.0320 7.6776 Å, 90.00 90.00 90.00°
Last column: nearest neighbours and their distance in Å.
Positions (direct):
1 Zr 0.0000 0.0000 0.0000  4 Si 2.86, 4 Zr 2.90-3.03, 1 Co 3.07
2 Zr 0.5000 0.5000 0.3545  4 Co 2.82, 4 Zr 2.90-3.03, 1 Si 3.01
3 Co 0.0000 0.0000 0.6004  4 Si 2.38
4 Si 0.5000 0.5000 0.7468  4 Co 2.38

Computed properties:
Total DFT energy (no corrections) (eV per atom): -7.74
Space-group type: Pmm2, No. 25
Formation energy without anion corrections (eV per atom): -0.338

---

[4]
The following is a GGA-PBE calculation of Hf5ZrTl3 after structural relaxation, from the Alexandria database.

Cell: 9.3703 9.3703 9.3703 Å, 133.62 133.62 67.68°
Last column: nearest neighbours and their distance in Å.
Positions (direct):
1 Hf 0.0000 0.0000 0.0000  4 Tl 2.91
2 Hf 0.0723 0.5723 0.9325  1 Tl 2.77, 1 Zr 2.80
3 Hf 0.1398 0.0723 0.5000  1 Tl 2.77, 1 Zr 2.80
4 Hf 0.3602 0.8602 0.9325  1 Tl 2.77, 1 Zr 2.80
5 Hf 0.4277 0.3602 0.5000  1 Tl 2.77, 1 Zr 2.80
6 Hf 0.5000 0.5000 0.0000  4 Tl 2.91
7 Hf 0.5723 0.6398 0.5000  1 Tl 2.77, 1 Zr 2.80
8 Hf 0.6398 0.1398 0.0675  1 Tl 2.77, 1 Zr 2.80
9 Hf 0.8602 0.9277 0.5000  1 Tl 2.77, 1 Zr 2.80
10 Hf 0.9277 0.4277 0.0675  1 Tl 2.77, 1 Zr 2.80
11 Zr 0.2500 0.7500 0.5000  4 Hf 2.80
12 Zr 0.7500 0.2500 0.5000  4 Hf 2.80
13 Tl 0.1270 0.3730 0.5000  1 Tl 2.65, 4 Hf 2.77-2.91
14 Tl 0.2500 0.2500 0.0000  8 Hf 3.11
15 Tl 0.3730 0.8730 0.2459  1 Tl 2.65, 4 Hf 2.77-2.91
16 Tl 0.6270 0.1270 0.7541  1 Tl 2.65, 4 Hf 2.77-2.91
17 Tl 0.7500 0.7500 0.0000  8 Hf 3.11
18 Tl 0.8730 0.6270 0.5000  1 Tl 2.65, 4 Hf 2.77-2.91

Computed properties:
Total DFT energy (no corrections) (eV per atom): -6.79
Space-group type: I4/mcm, No. 140

---

[5]
The following is a GGA-PBE calculation of Cs3BaCa2Cl9 after structural relaxation, from the Alexandria database.

Cell: 7.9124 7.9124 10.0402 Å, 90.00 90.00 120.00°
Last column: nearest neighbours and their distance in Å.
Positions (direct):
1 Cs 0.0000 0.0000 0.0000  12 Cl 3.92-3.96
2 Cs 0.3333 0.6667 0.7011  9 Cl 3.77-3.96
3 Cs 0.6667 0.3333 0.2989  9 Cl 3.77-3.96
4 Ba 0.0000 0.0000 0.5000  6 Cl 3.02
5 Ca 0.3333 0.6667 0.1563  6 Cl 2.71-2.77
6 Ca 0.6667 0.3333 0.8437  6 Cl 2.71-2.77
7 Cl 0.0000 0.5000 0.0000  2 Ca 2.77
8 Cl 0.1719 0.3438 0.3120  1 Ca 2.71, 1 Ba 3.02
9 Cl 0.1719 0.8281 0.3120  1 Ca 2.71, 1 Ba 3.02
10 Cl 0.3438 0.1719 0.6880  1 Ca 2.71, 1 Ba 3.02
11 Cl 0.5000 0.0000 0.0000  2 Ca 2.77
12 Cl 0.5000 0.5000 0.0000  2 Ca 2.77
13 Cl 0.6562 0.8281 0.3120  1 Ca 2.71, 1 Ba 3.02
14 Cl 0.8281 0.1719 0.6880  1 Ca 2.71, 1 Ba 3.02
15 Cl 0.8281 0.6562 0.6880  1 Ca 2.71, 1 Ba 3.02

Computed properties:
Total DFT energy (no corrections) (eV per atom): -3.95
Space-group type: P-3m1, No. 164
Formation energy without anion corrections (eV per atom): -2.273

---

[6]
The following is a GGA-PBE calculation of PmPrErTl after structural relaxation, from the Alexandria database.

Cell: 7.8897 7.8897 7.8897 Å, 90.00 90.00 90.00°
Last column: nearest neighbours and their distance in Å.
Positions (direct):
1 Pm 0.0000 0.0000 0.0000  4 Er 3.42, 4 Tl 3.42
2 Pm 0.0000 0.5000 0.5000  4 Er 3.42, 4 Tl 3.42
3 Pm 0.5000 0.0000 0.5000  4 Er 3.42, 4 Tl 3.42
4 Pm 0.5000 0.5000 0.0000  4 Er 3.42, 4 Tl 3.42
5 Pr 0.0000 0.0000 0.5000  4 Tl 3.42, 4 Er 3.42
6 Pr 0.0000 0.5000 0.0000  4 Tl 3.42, 4 Er 3.42
7 Pr 0.5000 0.0000 0.0000  4 Tl 3.42, 4 Er 3.42
8 Pr 0.5000 0.5000 0.5000  4 Tl 3.42, 4 Er 3.42
9 Er 0.2500 0.2500 0.2500  4 Pr 3.42, 4 Pm 3.42
10 Er 0.2500 0.7500 0.7500  4 Pr 3.42, 4 Pm 3.42
11 Er 0.7500 0.2500 0.7500  4 Pr 3.42, 4 Pm 3.42
12 Er 0.7500 0.7500 0.2500  4 Pr 3.42, 4 Pm 3.42
13 Tl 0.2500 0.2500 0.7500  4 Pr 3.42, 4 Pm 3.42
14 Tl 0.2500 0.7500 0.2500  4 Pr 3.42, 4 Pm 3.42
15 Tl 0.7500 0.2500 0.2500  4 Pr 3.42, 4 Pm 3.42
16 Tl 0.7500 0.7500 0.7500  4 Pr 3.42, 4 Pm 3.42

Computed properties:
Total DFT energy (no corrections) (eV per atom): -4.18
Space-group type: F-43m, No. 216

---

[7]
The following is a GGA-PBE calculation of SrHf2Pt after structural relaxation, from the Alexandria database.

Cell: 6.9582 6.9582 6.9582 Å, 90.00 90.00 90.00°
Last column: nearest neighbours and their distance in Å.
Positions (direct):
1 Sr 0.0000 0.0000 0.0000  8 Hf 3.01
2 Sr 0.0000 0.5000 0.5000  8 Hf 3.01
3 Sr 0.5000 0.0000 0.5000  8 Hf 3.01
4 Sr 0.5000 0.5000 0.0000  8 Hf 3.01
5 Hf 0.2500 0.2500 0.2500  4 Pt 3.01, 4 Sr 3.01
6 Hf 0.2500 0.2500 0.7500  4 Sr 3.01, 4 Pt 3.01
7 Hf 0.2500 0.7500 0.2500  4 Sr 3.01, 4 Pt 3.01
8 Hf 0.2500 0.7500 0.7500  4 Sr 3.01, 4 Pt 3.01
9 Hf 0.7500 0.2500 0.2500  4 Sr 3.01, 4 Pt 3.01
10 Hf 0.7500 0.2500 0.7500  4 Sr 3.01, 4 Pt 3.01
11 Hf 0.7500 0.7500 0.2500  4 Sr 3.01, 4 Pt 3.01
12 Hf 0.7500 0.7500 0.7500  4 Sr 3.01, 4 Pt 3.01
13 Pt 0.0000 0.0000 0.5000  8 Hf 3.01
14 Pt 0.0000 0.5000 0.0000  8 Hf 3.01
15 Pt 0.5000 0.0000 0.0000  8 Hf 3.01
16 Pt 0.5000 0.5000 0.5000  8 Hf 3.01

Computed properties:
Total DFT energy (no corrections) (eV per atom): -6.73
Space-group type: Fm-3m, No. 225

---

[8]
The following is a GGA-PBE calculation of LaTa2P after structural relaxation, from the Alexandria database.

Cell: 3.2535 3.9750 13.8230 Å, 90.00 90.00 90.00°
Last column: nearest neighbours and their distance in Å.
Positions (direct):
1 La 0.0000 0.0000 0.0000  2 P 3.19, 2 La 3.25, 6 Ta 3.33-3.53
2 La 0.5000 0.5000 0.5000  2 P 3.19, 2 La 3.25, 6 Ta 3.33-3.53
3 Ta 0.0000 0.0000 0.6528  2 P 2.62, 2 Ta 2.74
4 Ta 0.0000 0.5000 0.7890  4 P 2.57, 2 Ta 2.74
5 Ta 0.5000 0.0000 0.2890  4 P 2.57, 2 Ta 2.74
6 Ta 0.5000 0.5000 0.1528  2 P 2.62, 2 Ta 2.74
7 P 0.0000 0.5000 0.3012  6 Ta 2.57-2.62
8 P 0.5000 0.0000 0.8012  6 Ta 2.57-2.62

Computed properties:
Total DFT energy (no corrections) (eV per atom): -8.50
Space-group type: Imm2, No. 44

---

[9]
The following is a GGA-PBE calculation of K3Tl3TcO8 after structural relaxation, from the Alexandria database.

Cell: 7.0077 7.0077 7.4674 Å, 118.53 118.53 62.14°
Last column: nearest neighbours and their distance in Å.
Positions (direct):
1 K 0.0000 0.0000 0.0000  6 O 2.74-2.94
2 K 0.0000 0.5000 0.0000  6 O 2.69-2.78
3 K 0.5000 0.0000 0.0000  6 O 2.69-2.78
4 Tl 0.0000 0.5000 0.5000  6 O 2.47-2.56
5 Tl 0.5000 0.0000 0.5000  6 O 2.47-2.56
6 Tl 0.5000 0.5000 0.5000  2 O 2.06
7 Tc 0.0000 0.0000 0.5000  6 O 1.95-1.97
8 O 0.1837 0.8017 0.6769  1 Tc 1.95
9 O 0.1975 0.1975 0.6784  1 Tc 1.97
10 O 0.1983 0.8163 0.3231  1 Tc 1.95
11 O 0.2932 0.2932 0.3020  1 Tl 2.06
12 O 0.7068 0.7068 0.6980  1 Tl 2.06
13 O 0.8017 0.1837 0.6769  1 Tc 1.95
14 O 0.8025 0.8025 0.3216  1 Tc 1.97
15 O 0.8163 0.1983 0.3231  1 Tc 1.95

Computed properties:
Total DFT energy (no corrections) (eV per atom): -5.18
Space-group type: C2/m, No. 12
Formation energy without anion corrections (eV per atom): -1.147

---

[10]
The following is a GGA-PBE calculation of CaHoIn2 after structural relaxation, from the Alexandria database.

Cell: 3.7798 3.7798 7.6679 Å, 90.00 90.00 90.00°
Last column: nearest neighbours and their distance in Å.
Positions (direct):
1 Ca 0.0000 0.0000 0.0000  8 In 3.33
2 Ho 0.0000 0.0000 0.5000  8 In 3.25
3 In 0.5000 0.5000 0.2581  4 Ho 3.25, 4 Ca 3.33
4 In 0.5000 0.5000 0.7419  4 Ho 3.25, 4 Ca 3.33

Computed properties:
Total DFT energy (no corrections) (eV per atom): -3.48
Space-group type: P4/mmm, No. 123